An optimized crystal structure of TlOs2PbCl. Source: Alexandria via LeMat-Bulk, functional PBE-GGA.

Cell and atoms, written as POSCAR:
```
TlOs2PbCl
1.0
5.138 0.000 0.000
0.000 5.138 0.000
0.000 0.000 5.453
Tl Os Pb Cl
1 2 1 1
Direct
0.000 0.000 0.000 Tl
0.000 0.500 0.000 Os
0.500 0.000 0.000 Os
0.500 0.500 0.500 Pb
0.000 0.000 0.500 Cl
```

Calculated values
Its space group is P4/mmm, No. 123. The value obtained for the formation energy without anion corrections is 2.04 eV/atom.